Compound: Na2TlFeF6
Source: the Alexandria database
Functional: PBE+U
Structure: relaxed

a b c (Å): 5.878 5.878 6.321
angles (deg): 62.29 62.29 59.99
Fractional positions:
Na 0.528 0.528 0.416
Na 0.008 0.008 0.976
Tl 0.797 0.797 0.609
Fe 0.326 0.326 0.023
F 0.543 0.276 0.211
F 0.275 0.971 0.211
F 0.971 0.543 0.211
F 0.352 0.688 0.786
F 0.689 0.173 0.786
F 0.173 0.352 0.786

Results
E_tot   -4.67 eV per atom